Entry 1:
VASP calculation (GGA-PBE) on Tb3Sm6Y2 after structural relaxation.

Summary:
The total energy is -4.724 eV/atom. The calculation puts the size of the total moment at 0.0 Bohr magnetons per cell. As for the energy of formation: 288 meV per atom. The value obtained for the volume is 383.02 Å³/cell.

a = 4.765 Å, b = 4.765 Å, c = 17.203 Å
α = 97.96°, β = 97.96°, γ = 90.00°
Element x y z (fractional)
Tb  0.000  0.000  0.000
Tb  0.801  0.801  0.603
Tb  0.199  0.199  0.397
Sm  0.121  0.621  0.243
Sm  0.621  0.121  0.243
Sm  0.879  0.379  0.757
Sm  0.379  0.879  0.757
Sm  0.700  0.700  0.399
Sm  0.300  0.300  0.601
Y  0.454  0.454  0.909
Y  0.546  0.546  0.091



Entry 2:
VASP calculation (GGA-PBE) on Tb5SmY2 after structural relaxation.

Summary:
The total energy is -4.908 eV/atom. The calculation puts the size of the total moment at 0.0 Bohr magnetons per cell. As for the energy of formation: 192 meV per atom. The value obtained for the volume is 531.27 Å³/cell.

a = 8.878 Å, b = 16.476 Å, c = 11.203 Å
α = 90.00°, β = 90.00°, γ = 161.08°
Element x y z (fractional)
Tb  0.373  0.044  0.922
Tb  0.373  0.044  0.578
Tb  0.487  0.683  0.422
Tb  0.487  0.683  0.078
Tb  0.554  0.316  0.250
Tb  0.446  0.684  0.750
Tb  0.513  0.317  0.578
Tb  0.513  0.317  0.922
Tb  0.627  0.956  0.078
Tb  0.627  0.956  0.422
Sm  0.331  0.840  0.750
Sm  0.669  0.160  0.250
Y  0.699  0.581  0.384
Y  0.699  0.581  0.116
Y  0.301  0.419  0.616
Y  0.301  0.419  0.884



Entry 3:
VASP calculation (GGA-PBE) on Tb12Sm6Y after structural relaxation.

Summary:
The total energy is -4.545 eV/atom. The calculation puts the size of the total moment at 0.0 Bohr magnetons per cell. As for the energy of formation: 210 meV per atom. The value obtained for the volume is 644.29 Å³/cell.

a = 8.750 Å, b = 8.750 Å, c = 8.750 Å
α = 98.66°, β = 98.66°, γ = 98.66°
Element x y z (fractional)
Tb  0.758  0.242  0.500
Tb  0.356  0.083  0.356
Tb  0.356  0.356  0.083
Tb  0.917  0.644  0.644
Tb  0.644  0.644  0.917
Tb  0.644  0.917  0.644
Tb  0.500  0.758  0.242
Tb  0.242  0.500  0.758
Tb  0.242  0.758  0.500
Tb  0.500  0.242  0.758
Tb  0.758  0.500  0.242
Tb  0.083  0.356  0.356
Sm  0.904  0.343  0.904
Sm  0.904  0.904  0.343
Sm  0.343  0.904  0.904
Sm  0.096  0.096  0.657
Sm  0.096  0.657  0.096
Sm  0.657  0.096  0.096
Y  0.000  0.000  0.000



Entry 4:
VASP calculation (GGA-PBE) on Tb3SmY7 after structural relaxation.

Summary:
The total energy is -5.609 eV/atom. The calculation puts the size of the total moment at 0.0 Bohr magnetons per cell. As for the energy of formation: 196 meV per atom. The value obtained for the volume is 376.85 Å³/cell.

a = 8.631 Å, b = 7.101 Å, c = 7.100 Å
α = 120.00°, β = 89.99°, γ = 90.00°
Element x y z (fractional)
Tb  0.783  0.500  0.500
Tb  0.783  0.500  0.000
Tb  0.783  0.000  0.500
Sm  0.448  0.333  0.667
Y  0.117  0.168  0.832
Y  0.117  0.168  0.336
Y  0.118  0.667  0.333
Y  0.450  0.832  0.168
Y  0.450  0.335  0.168
Y  0.450  0.832  0.665
Y  0.117  0.664  0.832



Entry 5:
VASP calculation (GGA-PBE) on TbSmY3 after structural relaxation.

Summary:
The total energy is -5.443 eV/atom. The calculation puts the size of the total moment at 0.0 Bohr magnetons per cell. As for the energy of formation: 306 meV per atom. The value obtained for the volume is 353.77 Å³/cell.

a = 3.634 Å, b = 8.509 Å, c = 11.710 Å
α = 90.00°, β = 90.00°, γ = 102.28°
Element x y z (fractional)
Tb  0.324  0.148  0.250
Tb  0.676  0.852  0.750
Sm  0.997  0.489  0.250
Sm  0.003  0.511  0.750
Y  0.846  0.192  0.000
Y  0.154  0.808  0.000
Y  0.846  0.192  0.500
Y  0.154  0.808  0.500
Y  0.665  0.827  0.250
Y  0.335  0.173  0.750



Entry 6:
VASP calculation (GGA-PBE) on TbSm12Y7 after structural relaxation.

Summary:
The total energy is -5.028 eV/atom. The calculation puts the size of the total moment at 0.0 Bohr magnetons per cell. As for the energy of formation: 298 meV per atom. The value obtained for the volume is 690.96 Å³/cell.

a = 6.785 Å, b = 11.077 Å, c = 11.077 Å
α = 64.06°, β = 78.22°, γ = 101.78°
Element x y z (fractional)
Tb  0.000  0.000  0.000
Sm  0.728  0.476  0.063
Sm  0.210  0.937  0.539
Sm  0.277  0.213  0.211
Sm  0.511  0.789  0.425
Sm  0.748  0.539  0.524
Sm  0.936  0.425  0.787
Sm  0.064  0.575  0.213
Sm  0.252  0.461  0.476
Sm  0.489  0.211  0.575
Sm  0.723  0.787  0.789
Sm  0.790  0.063  0.461
Sm  0.272  0.524  0.937
Y  0.777  0.160  0.144
Y  0.079  0.856  0.304
Y  0.383  0.304  0.840
Y  0.500  0.000  0.000
Y  0.617  0.696  0.160
Y  0.921  0.144  0.696
Y  0.223  0.840  0.856